No. 1
# Rb3HgC2O6, optimized geometry, DFT GGA-PBE
data_Rb3HgC2O6
_chemical_formula_sum 'Rb3 Hg1 C2 O6'
_symmetry_space_group_name_H-M 'P -3 m 1'
_symmetry_Int_Tables_number 164
_symmetry_space_group_name_Hall '-P 3 2"'
_cell_length_a 5.9402
_cell_length_b 5.9402
_cell_length_c 7.4827
_cell_angle_alpha 90.00
_cell_angle_beta 90.00
_cell_angle_gamma 120.00
loop_
_atom_site_label
_atom_site_type_symbol
_atom_site_fract_x
_atom_site_fract_y
_atom_site_fract_z
Rb1 Rb 0.0000 0.0000 0.0000
Rb2 Rb 0.3333 0.6667 0.7074
Hg1 Hg 0.0000 0.0000 0.5000
C1 C 0.3333 0.6667 0.2598
O1 O 0.2062 0.4124 0.2576
# Uncorrected energy (eV per atom): -5.698
# D(E_F) (states/eV per cell): 2.5

---

No. 2
# NdGa6Ni4, optimized geometry, DFT GGA-PBE
data_NdGa6Ni4
_chemical_formula_sum 'Nd1 Ga6 Ni4'
_symmetry_space_group_name_H-M 'P -6 m 2'
_symmetry_Int_Tables_number 187
_symmetry_space_group_name_Hall 'P -6 2'
_cell_length_a 6.9801
_cell_length_b 6.9801
_cell_length_c 3.9826
_cell_angle_alpha 90.00
_cell_angle_beta 90.00
_cell_angle_gamma 120.00
loop_
_atom_site_label
_atom_site_type_symbol
_atom_site_fract_x
_atom_site_fract_y
_atom_site_fract_z
Nd1 Nd 0.0000 0.0000 0.0000
Ga1 Ga 0.1983 0.3967 0.5000
Ga2 Ga 0.5345 0.0690 0.0000
Ni1 Ni 0.3333 0.6667 0.0000
Ni2 Ni 0.4206 0.2103 0.5000
# D(E_F) (states/eV per cell): 5.3
# Energy relative to the elements (eV/atom): -0.47

---

No. 3
# Te2MoAs, optimized geometry, DFT GGA-PBE
data_Te2MoAs
_chemical_formula_sum 'Te4 Mo2 As2'
_symmetry_space_group_name_H-M 'C m m 2'
_symmetry_Int_Tables_number 35
_symmetry_space_group_name_Hall 'C 2 -2'
_cell_length_a 3.517
_cell_length_b 5.065
_cell_length_c 10.783
_cell_angle_alpha 90.00
_cell_angle_beta 90.00
_cell_angle_gamma 90.00
loop_
_atom_site_label
_atom_site_type_symbol
_atom_site_fract_x
_atom_site_fract_y
_atom_site_fract_z
Te1 Te 0.000 0.000 0.000
Te2 Te 0.000 0.500 0.312
Mo1 Mo 0.000 0.500 0.793
As1 As 0.000 0.000 0.624
# Uncorrected energy (eV per atom): -5.162
# D(E_F) (states/eV per cell): 7.9

---

No. 4
# CdRh2Pb, optimized geometry, DFT GGA-PBE
data_CdRh2Pb
_chemical_formula_sum 'Cd4 Rh8 Pb4'
_symmetry_space_group_name_H-M 'I -4 2 d'
_symmetry_Int_Tables_number 122
_symmetry_space_group_name_Hall 'I -4 2bw'
_cell_length_a 7.296
_cell_length_b 7.296
_cell_length_c 5.974
_cell_angle_alpha 90.00
_cell_angle_beta 90.00
_cell_angle_gamma 90.00
loop_
_atom_site_label
_atom_site_type_symbol
_atom_site_fract_x
_atom_site_fract_y
_atom_site_fract_z
Cd1 Cd 0.000 0.000 0.000
Rh1 Rh 0.245 0.250 0.625
Pb1 Pb 0.000 0.000 0.500
# D(E_F) (states/eV per cell): 4.7
# Energy relative to the elements (eV/atom): 0.30

---

No. 5
# Y2AsW, optimized geometry, DFT GGA-PBE
data_Y2AsW
_chemical_formula_sum 'Y4 As2 W2'
_symmetry_space_group_name_H-M 'C 1 m 1'
_symmetry_Int_Tables_number 8
_symmetry_space_group_name_Hall 'C -2y'
_cell_length_a 10.932
_cell_length_b 3.340
_cell_length_c 5.140
_cell_angle_alpha 90.00
_cell_angle_beta 106.91
_cell_angle_gamma 90.00
loop_
_atom_site_label
_atom_site_type_symbol
_atom_site_fract_x
_atom_site_fract_y
_atom_site_fract_z
Y1 Y 0.000 0.000 0.000
Y2 Y 0.204 0.000 0.655
As1 As 0.441 0.000 0.476
W1 W 0.270 0.500 0.201
# D(E_F) (states/eV per cell): 8.3
# Energy relative to the elements (eV/atom): -0.12

---

No. 6
# La2Dy3Ho5, optimized geometry, DFT GGA-PBE
data_La2Dy3Ho5
_chemical_formula_sum 'La8 Dy12 Ho20'
_symmetry_space_group_name_H-M 'C 1 2/c 1'
_symmetry_Int_Tables_number 15
_symmetry_space_group_name_Hall '-C 2yc'
_cell_length_a 10.600
_cell_length_b 16.161
_cell_length_c 9.344
_cell_angle_alpha 90.00
_cell_angle_beta 124.44
_cell_angle_gamma 90.00
loop_
_atom_site_label
_atom_site_type_symbol
_atom_site_fract_x
_atom_site_fract_y
_atom_site_fract_z
La1 La 0.142 0.128 0.046
Dy1 Dy 0.000 0.022 0.250
Dy2 Dy 0.156 0.377 0.548
Ho1 Ho 0.000 0.230 0.250
Ho2 Ho 0.000 0.275 0.750
Ho3 Ho 0.000 0.473 0.750
Ho4 Ho 0.232 0.379 0.223
# D(E_F) (states/eV per cell): 67.2
# Energy relative to the elements (eV/atom): 0.20

---

No. 7
# BaCeZnGa, optimized geometry, DFT GGA-PBE
data_BaCeZnGa
_chemical_formula_sum 'Ba4 Ce4 Zn4 Ga4'
_symmetry_space_group_name_H-M 'F -4 3 m'
_symmetry_Int_Tables_number 216
_symmetry_space_group_name_Hall 'F -4 2 3'
_cell_length_a 7.738
_cell_length_b 7.738
_cell_length_c 7.738
_cell_angle_alpha 90.00
_cell_angle_beta 90.00
_cell_angle_gamma 90.00
loop_
_atom_site_label
_atom_site_type_symbol
_atom_site_fract_x
_atom_site_fract_y
_atom_site_fract_z
Ba1 Ba 0.000 0.000 0.000
Ce1 Ce 0.000 0.000 0.500
Zn1 Zn 0.250 0.250 0.250
Ga1 Ga 0.250 0.250 0.750
# D(E_F) (states/eV per cell): 43.0
# Energy relative to the elements (eV/atom): -0.14

---

No. 8
# Be3Ag, optimized geometry, DFT GGA-PBE
data_Be3Ag
_chemical_formula_sum 'Be9 Ag3'
_symmetry_space_group_name_H-M 'R -3 m'
_symmetry_Int_Tables_number 166
_symmetry_space_group_name_Hall '-R 3 2"'
_cell_length_a 7.7577
_cell_length_b 7.7577
_cell_length_c 2.5489
_cell_angle_alpha 90.00
_cell_angle_beta 90.00
_cell_angle_gamma 120.00
loop_
_atom_site_label
_atom_site_type_symbol
_atom_site_fract_x
_atom_site_fract_y
_atom_site_fract_z
Be1 Be 0.0000 0.5000 0.0000
Ag1 Ag 0.0000 0.0000 0.0000
# D(E_F) (states/eV per cell): 2.2
# Energy relative to the elements (eV/atom): 0.31

---

No. 9
# Eu2CuHg, optimized geometry, DFT GGA-PBE
data_Eu2CuHg
_chemical_formula_sum 'Eu2 Cu1 Hg1'
_symmetry_space_group_name_H-M 'P 4/m m m'
_symmetry_Int_Tables_number 123
_symmetry_space_group_name_Hall '-P 4 2'
_cell_length_a 3.754
_cell_length_b 3.754
_cell_length_c 7.670
_cell_angle_alpha 90.00
_cell_angle_beta 90.00
_cell_angle_gamma 90.00
loop_
_atom_site_label
_atom_site_type_symbol
_atom_site_fract_x
_atom_site_fract_y
_atom_site_fract_z
Eu1 Eu 0.000 0.000 0.234
Cu1 Cu 0.500 0.500 0.000
Hg1 Hg 0.500 0.500 0.500
# D(E_F) (states/eV per cell): 12.6
# Energy relative to the elements (eV/atom): -0.30

---

No. 10
# SmMg4Ti, optimized geometry, DFT GGA-PBE
data_SmMg4Ti
_chemical_formula_sum 'Sm4 Mg16 Ti4'
_symmetry_space_group_name_H-M 'F -4 3 m'
_symmetry_Int_Tables_number 216
_symmetry_space_group_name_Hall 'F -4 2 3'
_cell_length_a 8.312
_cell_length_b 8.312
_cell_length_c 8.312
_cell_angle_alpha 90.00
_cell_angle_beta 90.00
_cell_angle_gamma 90.00
loop_
_atom_site_label
_atom_site_type_symbol
_atom_site_fract_x
_atom_site_fract_y
_atom_site_fract_z
Sm1 Sm 0.000 0.000 0.000
Mg1 Mg 0.124 0.124 0.624
Ti1 Ti 0.250 0.250 0.250
# D(E_F) (states/eV per cell): 30.7
# Energy relative to the elements (eV/atom): 0.12

---

No. 11
# SrSnIr2O8, optimized geometry, DFT GGA-PBE
data_SrSnIr2O8
_chemical_formula_sum 'Sr1 Sn1 Ir2 O8'
_symmetry_space_group_name_H-M 'P -3'
_symmetry_Int_Tables_number 147
_symmetry_space_group_name_Hall '-P 3'
_cell_length_a 5.5907
_cell_length_b 5.5907
_cell_length_c 7.2889
_cell_angle_alpha 90.00
_cell_angle_beta 90.00
_cell_angle_gamma 120.00
loop_
_atom_site_label
_atom_site_type_symbol
_atom_site_fract_x
_atom_site_fract_y
_atom_site_fract_z
Sr1 Sr 0.0000 0.0000 0.0000
Sn1 Sn 0.0000 0.0000 0.5000
Ir1 Ir 0.3333 0.6667 0.7444
O1 O 0.0497 0.3027 0.6920
O2 O 0.3333 0.6667 0.9954
# Uncorrected energy (eV per atom): -6.149
# D(E_F) (states/eV per cell): 2.4

---

No. 12
# TmU3As4, optimized geometry, DFT GGA-PBE
data_TmU3As4
_chemical_formula_sum 'Tm2 U6 As8'
_symmetry_space_group_name_H-M 'C m m m'
_symmetry_Int_Tables_number 65
_symmetry_space_group_name_Hall '-C 2 2'
_cell_length_a 8.241
_cell_length_b 11.543
_cell_length_c 4.041
_cell_angle_alpha 90.00
_cell_angle_beta 90.00
_cell_angle_gamma 90.00
loop_
_atom_site_label
_atom_site_type_symbol
_atom_site_fract_x
_atom_site_fract_y
_atom_site_fract_z
Tm1 Tm 0.000 0.000 0.000
U1 U 0.000 0.500 0.000
U2 U 0.250 0.250 0.500
As1 As 0.000 0.248 0.000
As2 As 0.248 0.000 0.500
# D(E_F) (states/eV per cell): 29.2
# Energy relative to the elements (eV/atom): -0.92

---

Theoretical density for every record listed, in sequence, given in g/cm³: 4.19; 7.88; 7.37; 10.98; 8.08; 8.00; 5.92; 5.06; 8.73; 3.42; 6.05; 10.22.